DFT (PBEsol) results for a geometry-optimized NaAlZnRu2 structure.

Summary:
VASP energy	-18.1	eV per cell
SG	P4/mmm (123)
energy relative to the elements	1.86	eV/atom
volume	84.7	Å³/f.u.

Cell lengths 4.500, 4.500, 4.181 Å; angles 90.00, 90.00, 90.00 degrees
Element x y z (fractional)
Na1 0.000 0.000 0.000
Al1 0.500 0.500 0.500
Zn1 0.000 0.000 0.500
Ru1 0.000 0.500 0.000
Ru2 0.500 0.000 0.000

---

DFT (PBEsol) results for a geometry-optimized CsNaAu2 structure.

Summary:
VASP energy	-10.1	eV per cell
SG	Fm-3m (225)
energy relative to the elements	0.01	eV/atom
volume	117.9	Å³/f.u.

Cell lengths 5.504, 5.504, 5.504 Å; angles 60.00, 60.00, 60.00 degrees
Element x y z (fractional)
Cs1 0.000 0.000 0.000
Na1 0.500 0.500 0.500
Au1 0.250 0.250 0.250
Au2 0.750 0.750 0.750